12
Lattice="6.232 0.000 0.008 -3.115 5.398 0.008 -1.051 -1.819 11.666" Properties=species:S:1:pos:R:3 comment="TbPm3Nd2Dy6, relaxed, DFT PBE" formation_energy_ev_per_atom=0.01 spacegroup="No. 12" pbc="T T T"
Dy -0.006 3.583 8.764
Dy -0.011 -0.019 8.753
Dy 2.078 3.598 2.929
Dy 3.106 1.786 8.764
Dy -1.039 1.793 2.917
Dy 2.073 -0.004 2.917
Pm -2.082 3.589 5.841
Pm 1.033 1.789 5.841
Pm 4.148 -0.010 5.841
Tb 0.000 0.000 0.000
Nd 3.115 1.800 0.008
Nd 0.003 3.598 0.008